Entry from the Alexandria database: a relaxed LaHo7Tm2 crystal (GGA-PBE).

Properties
- Spin magnetization: 0.000 μB per atom
- Energy relative to the lowest polymorph listed for this composition: 671 meV/atom

```
LaHo7Tm2
1.0
-1.917 -0.083 5.312
-7.432 -4.421 -2.751
7.531 -4.313 2.650
Tm Ho La
2 7 1
Direct
0.500 0.703 0.297
0.500 0.297 0.703
0.500 0.500 0.500
0.000 0.222 0.778
0.500 0.060 0.294
0.500 0.706 0.940
0.500 0.940 0.706
0.500 0.294 0.060
0.000 0.778 0.222
0.000 0.000 0.000
```